! NdZnNi PBE relaxed; values from VASP
! Space group: P2_1/m
! DFT formation energy: -0.258 eV/atom
! Size of the total moment: 0.00 μB per cell
! Mass density: 7.5 g cm⁻³
&SYSTEM
  ibrav = 0, nat = 6, ntyp = 3
/
ATOMIC_SPECIES
Nd 144.24 Nd.upf
Ni 58.69 Ni.upf
Zn 65.41 Zn.upf
ATOMIC_POSITIONS crystal
Nd 0.898 0.250 0.795
Ni 0.238 0.250 0.474
Zn 0.632 0.250 0.263
Zn 0.368 0.750 0.737
Ni 0.762 0.750 0.526
Nd 0.102 0.750 0.205
CELL_PARAMETERS angstrom
4.216 0.000 -0.046
0.000 4.707 0.000
-2.029 0.000 6.035

! Nd5Zn4Ni PBE relaxed; values from VASP
! Space group: P4/mmm
! DFT formation energy: -0.292 eV/atom
! Size of the total moment: 0.00 μB per cell
! Mass density: 7.1 g cm⁻³
&SYSTEM
  ibrav = 0, nat = 10, ntyp = 3
/
ATOMIC_SPECIES
Ni 58.69 Ni.upf
Zn 65.41 Zn.upf
Nd 144.24 Nd.upf
ATOMIC_POSITIONS crystal
Ni 0.000 0.000 0.000
Zn 0.000 0.000 0.196
Nd 0.500 0.500 0.500
Nd 0.500 0.500 0.704
Zn 0.000 0.000 0.804
Zn 0.000 0.000 0.602
Nd 0.500 0.500 0.909
Nd 0.500 0.500 0.091
Nd 0.500 0.500 0.296
Zn 0.000 0.000 0.398
CELL_PARAMETERS angstrom
3.647 0.000 0.000
0.000 3.647 0.000
0.000 0.000 18.286

! Nd2Zn4Ni5 PBE relaxed; values from VASP
! Space group: Fmmm
! DFT formation energy: -0.300 eV/atom
! Size of the total moment: 0.00 μB per cell
! Mass density: 7.7 g cm⁻³
&SYSTEM
  ibrav = 0, nat = 11, ntyp = 3
/
ATOMIC_SPECIES
Zn 65.41 Zn.upf
Nd 144.24 Nd.upf
Ni 58.69 Ni.upf
ATOMIC_POSITIONS crystal
Zn 0.470 0.317 0.743
Nd 0.133 0.000 0.733
Ni 0.500 0.000 0.000
Ni 0.250 0.500 0.500
Zn 0.530 0.683 0.257
Zn 0.213 0.317 0.257
Ni 0.000 0.500 0.000
Zn 0.787 0.683 0.743
Nd 0.867 0.000 0.267
Ni 0.500 0.500 0.000
Ni 0.750 0.500 0.500
CELL_PARAMETERS angstrom
5.369 0.000 0.000
2.685 4.492 0.000
2.685 0.000 7.505

! NdZn2Ni4 PBE relaxed; values from VASP
! Space group: Immm
! DFT formation energy: -0.247 eV/atom
! Size of the total moment: 0.00 μB per cell
! Mass density: 8.4 g cm⁻³
&SYSTEM
  ibrav = 0, nat = 7, ntyp = 3
/
ATOMIC_SPECIES
Ni 58.69 Ni.upf
Zn 65.41 Zn.upf
Nd 144.24 Nd.upf
ATOMIC_POSITIONS crystal
Ni 0.309 0.382 0.000
Ni 0.691 0.618 0.000
Zn 0.249 0.500 0.500
Zn 0.750 0.500 0.500
Ni 0.691 0.000 0.618
Nd 0.000 0.000 0.000
Ni 0.309 0.000 0.382
CELL_PARAMETERS angstrom
4.457 -0.001 2.381
2.070 4.454 1.481
0.125 -0.313 5.119

! NdZn2Ni9 PBE relaxed; values from VASP
! Space group: P6/mmm
! DFT formation energy: 0.038 eV/atom
! Size of the total moment: 1.10 μB per cell
! Mass density: 8.7 g cm⁻³
&SYSTEM
  ibrav = 0, nat = 12, ntyp = 3
/
ATOMIC_SPECIES
Ni 58.69 Ni.upf
Nd 144.24 Nd.upf
Zn 65.41 Zn.upf
ATOMIC_POSITIONS crystal
Ni 0.500 0.630 0.815
Ni 0.500 0.185 0.815
Nd 0.000 0.000 0.000
Ni 0.500 0.370 0.185
Ni 0.500 0.815 0.185
Ni 0.000 0.500 0.000
Ni 0.000 0.500 0.500
Ni 0.000 0.000 0.500
Zn 0.000 0.667 0.333
Ni 0.500 0.815 0.630
Zn 0.000 0.333 0.667
Ni 0.500 0.185 0.370
CELL_PARAMETERS angstrom
2.687 0.000 0.000
0.000 8.133 0.000
0.000 -4.066 7.043

! NdZn4Ni PBE relaxed; values from VASP
! Space group: F-43m
! DFT formation energy: -0.141 eV/atom
! Size of the total moment: 0.00 μB per cell
! Mass density: 7.5 g cm⁻³
&SYSTEM
  ibrav = 0, nat = 6, ntyp = 3
/
ATOMIC_SPECIES
Nd 144.24 Nd.upf
Zn 65.41 Zn.upf
Ni 58.69 Ni.upf
ATOMIC_POSITIONS crystal
Nd 0.250 0.250 0.250
Zn 0.626 0.121 0.626
Zn 0.626 0.626 0.626
Zn 0.121 0.626 0.626
Zn 0.626 0.626 0.121
Ni 0.000 0.000 0.000
CELL_PARAMETERS angstrom
5.248 0.000 0.000
2.624 4.545 0.000
2.624 1.515 4.285